No. 1
LaZrSb2 (PBE, relaxed); symmetry = No. 12; V = 107.38 Å³/cell; magnetic moment = 0.0 μB per formula unit
1.0
-4.9700 0.6754 -1.5783
-0.7854 -3.3291 3.9935
-0.7619 2.8676 2.6333
La Sb Zr
1 2 1
Direct
0.0000 0.5000 0.5000 La
0.0000 0.0000 0.0000 Sb
0.5000 0.5000 0.0000 Sb
0.5000 0.0000 0.5000 Zr

=====

No. 2
LaZr2Sb2 (PBE, relaxed); symmetry = No. 127; V = 256.49 Å³/cell; magnetic moment = 0.0 μB per formula unit
1.0
-4.0025 4.5569 5.5958
-4.0058 -6.7254 2.6116
2.7398 -0.6617 2.4985
Sb Zr La
4 4 2
Direct
0.3603 0.8603 0.0000 Sb
0.8603 0.6397 0.0000 Sb
0.6397 0.1397 0.0000 Sb
0.1397 0.3603 0.0000 Sb
0.1497 0.6497 0.5000 Zr
0.6497 0.8503 0.5000 Zr
0.8503 0.3503 0.5000 Zr
0.3503 0.1497 0.5000 Zr
0.0000 0.0000 0.0000 La
0.5000 0.5000 0.0000 La

=====

No. 3
LaZr2Sb (PBE, relaxed); symmetry = No. 6; V = 108.44 Å³/cell; magnetic moment = 0.0 μB per formula unit
1.0
-3.4808 2.0480 2.5445
-2.3371 -3.0853 -0.7139
0.7892 -4.1398 4.4116
La Sb Zr
1 1 2
Direct
0.0000 0.5285 0.5696 La
0.5000 0.9440 0.7377 Sb
0.0000 0.7889 0.0457 Zr
0.5000 0.2385 0.1470 Zr

=====

What energy relative to the elements, uncorrected values result from the calculations? In sequence: -636, -659, -351 meV per atom.
What N(E_F) values result from the calculations? In sequence: 2.929, 9.132, 4.493 states/eV/cell.